No. 1
A geometry-optimized MnHgBr2 structure. Source: Alexandria, functional PBE-GGA.

Output
Its total magnetization is 1.250 μB/atom. For the uncorrected formation energy, the calculation gives -0.4898 eV per atom. Its energy relative to the lowest polymorph listed for this composition is 78 meV/atom.

Lattice parameters (Å, degrees): 13.6407 3.7076 6.4929 90.00 113.00 90.00
Space group Cm (No. 8)
Unique sites:
Mn1 0.0000 0.0000 0.0000 (multiplicity 2)
Hg1 0.3372 0.5000 0.1628 (multiplicity 2)
Br1 0.1178 0.5000 0.2645 (multiplicity 2)
Br2 0.4239 0.0000 0.7011 (multiplicity 2)



No. 2
A geometry-optimized HfNbCd structure. Source: Alexandria, functional PBE-GGA.

Output
Its total magnetization is 0.000 μB/atom. Its energy relative to the lowest polymorph listed for this composition is 89 meV/atom. The value obtained for the formation energy is 54 meV/atom.

Lattice parameters (Å, degrees): 2.9566 2.9566 13.9904 90.00 90.00 90.00
Space group I4mm (No. 107)
Unique sites:
Hf1 0.0000 0.0000 0.0000 (multiplicity 2)
Nb1 0.0000 0.0000 0.3415 (multiplicity 2)
Cd1 0.0000 0.0000 0.6746 (multiplicity 2)